{
  "formula": "TcH2Pb2",
  "functional": "PBE",
  "state": "optimized geometry",
  "de_polymorph_mev_per_atom": 235,
  "n_ef_per_ev_cell": 2.99,
  "cell": [[-1.665, 1.665, 6.778], [1.665, -1.665, 6.778], [1.665, 1.665, -6.778]],
  "species": ["Tc", "H", "H", "Pb", "Pb"],
  "frac_coords": [[0.000, 0.000, 0.000], [0.250, 0.750, 0.500], [0.750, 0.250, 0.500], [0.371, 0.371, 0.000], [0.629, 0.629, 0.000]]
}